[1]
# PBE-GGA Cs8Te2Au, optimized geometry
# Energy relative to the elements, uncorrected   -583 meV/atom
# Calculated volume   68.94 Å³ per atom
# N(E_F)   11.981 states/eV/cell
# Spin magnetization   0.58 μB/f.u.
data_Cs8Te2Au
_chemical_formula_sum 'Cs16 Te4 Au2'
_space_group_name_H-M_alt 'C 1 2/m 1'
_space_group_IT_number 12
_cell_length_a 21.896
_cell_length_b 6.360
_cell_length_c 11.044
_cell_angle_alpha 90.00
_cell_angle_beta 99.59
_cell_angle_gamma 90.00
loop_
_space_group_symop_operation_xyz
'x,y,z'
'-x,-y,-z'
'-x,y,-z'
'x,-y,z'
'x+1/2,y+1/2,z'
'-x+1/2,-y+1/2,-z'
'-x+1/2,y+1/2,-z'
'x+1/2,-y+1/2,z'
loop_
_atom_site_label
_atom_site_fract_x
_atom_site_fract_y
_atom_site_fract_z
_atom_site_occupancy
Cs1 0.070 0.000 0.171 1
Cs2 0.070 0.500 0.707 1
Cs3 0.191 0.500 0.065 1
Cs4 0.194 0.000 0.564 1
Te1 0.250 0.000 0.250 1
Au1 0.000 0.500 0.000 1

[2]
# PBE-GGA ScAs2SeS, optimized geometry
# Energy relative to the elements, uncorrected   156 meV/atom
# Calculated volume   21.88 Å³ per atom
# N(E_F)   3.358 states/eV/cell
# Spin magnetization   0.00 μB/f.u.
# Energy above the lowest structure with this stoichiometry   0.000 eV per atom
data_ScAs2SeS
_chemical_formula_sum 'Sc1 As2 Se1 S1'
_space_group_name_H-M_alt 'P 4/m m m'
_space_group_IT_number 123
_space_group_name_Hall '-P 4 2'
_cell_length_a 4.791
_cell_length_b 4.791
_cell_length_c 4.767
_cell_angle_alpha 90.00
_cell_angle_beta 90.00
_cell_angle_gamma 90.00
loop_
_atom_site_label
_atom_site_fract_x
_atom_site_fract_y
_atom_site_fract_z
_atom_site_occupancy
Sc1 0.000 0.000 0.000 1
As1 0.000 0.500 0.500 1
Se1 0.500 0.500 0.000 1
S1 0.500 0.500 0.500 1

[3]
# PBE-GGA TlIn3Si, optimized geometry
# Energy relative to the elements, uncorrected   342 meV/atom
# Calculated volume   30.38 Å³ per atom
# N(E_F)   2.424 states/eV/cell
# Spin magnetization   0.00 μB/f.u.
# Energy above the lowest structure with this stoichiometry   0.000 eV per atom
data_TlIn3Si
_chemical_formula_sum 'Tl1 In3 Si1'
_space_group_name_H-M_alt 'P m -3 m'
_space_group_IT_number 221
_space_group_name_Hall '-P 4 2 3'
_cell_length_a 5.336
_cell_length_b 5.336
_cell_length_c 5.336
_cell_angle_alpha 90.00
_cell_angle_beta 90.00
_cell_angle_gamma 90.00
loop_
_atom_site_label
_atom_site_fract_x
_atom_site_fract_y
_atom_site_fract_z
_atom_site_occupancy
Tl1 0.000 0.000 0.000 1
In1 0.000 0.500 0.500 1
Si1 0.500 0.500 0.500 1

[4]
# PBE-GGA NaZnAg4, optimized geometry
# Calculated volume   20.34 Å³ per atom
# Energy of formation from the pure elements   0.071 eV per atom
# N(E_F)   11.122 states/eV/cell
# Spin magnetization   0.00 μB/f.u.
# Energy above the lowest structure with this stoichiometry   0.066 eV per atom
data_NaZnAg4
_chemical_formula_sum 'Na4 Zn4 Ag16'
_space_group_name_H-M_alt 'F -4 3 m'
_space_group_IT_number 216
_space_group_name_Hall 'F -4 2 3'
_cell_length_a 7.874
_cell_length_b 7.874
_cell_length_c 7.874
_cell_angle_alpha 90.00
_cell_angle_beta 90.00
_cell_angle_gamma 90.00
loop_
_atom_site_label
_atom_site_fract_x
_atom_site_fract_y
_atom_site_fract_z
_atom_site_occupancy
Na1 0.000 0.000 0.000 1
Zn1 0.250 0.250 0.750 1
Ag1 0.125 0.125 0.375 1

[5]
# PBE-GGA TiSn2Br, optimized geometry
# Energy relative to the elements, uncorrected   386 meV/atom
# Calculated volume   24.51 Å³ per atom
# N(E_F)   26.169 states/eV/cell
# Spin magnetization   0.00 μB/f.u.
# Energy above the lowest structure with this stoichiometry   0.205 eV per atom
data_TiSn2Br
_chemical_formula_sum 'Ti4 Sn8 Br4'
_space_group_name_H-M_alt 'F m -3 m'
_space_group_IT_number 225
_space_group_name_Hall '-F 4 2 3'
_cell_length_a 7.320
_cell_length_b 7.320
_cell_length_c 7.320
_cell_angle_alpha 90.00
_cell_angle_beta 90.00
_cell_angle_gamma 90.00
loop_
_atom_site_label
_atom_site_fract_x
_atom_site_fract_y
_atom_site_fract_z
_atom_site_occupancy
Ti1 0.000 0.000 0.000 1
Sn1 0.250 0.250 0.250 1
Br1 0.000 0.000 0.500 1

[6]
# PBE-GGA ErPuPdRh, optimized geometry
# Calculated volume   20.66 Å³ per atom
# Energy of formation from the pure elements   -0.634 eV per atom
# N(E_F)   44.374 states/eV/cell
# Spin magnetization   5.39 μB/f.u.
data_ErPuPdRh
_chemical_formula_sum 'Er4 Pu4 Pd4 Rh4'
_space_group_name_H-M_alt 'F -4 3 m'
_space_group_IT_number 216
_space_group_name_Hall 'F -4 2 3'
_cell_length_a 6.915
_cell_length_b 6.915
_cell_length_c 6.915
_cell_angle_alpha 90.00
_cell_angle_beta 90.00
_cell_angle_gamma 90.00
loop_
_atom_site_label
_atom_site_fract_x
_atom_site_fract_y
_atom_site_fract_z
_atom_site_occupancy
Er1 0.000 0.000 0.000 1
Pu1 0.000 0.000 0.500 1
Pd1 0.250 0.250 0.250 1
Rh1 0.250 0.250 0.750 1

[7]
# PBE-GGA TiBe3P, optimized geometry
# Calculated volume   17.38 Å³ per atom
# Energy of formation from the pure elements   1.809 eV per atom
# N(E_F)   4.396 states/eV/cell
# Spin magnetization   0.89 μB/f.u.
# Energy above the lowest structure with this stoichiometry   1.178 eV per atom
data_TiBe3P
_chemical_formula_sum 'Ti1 Be3 P1'
_space_group_name_H-M_alt 'P m -3 m'
_space_group_IT_number 221
_space_group_name_Hall '-P 4 2 3'
_cell_length_a 4.430
_cell_length_b 4.430
_cell_length_c 4.430
_cell_angle_alpha 90.00
_cell_angle_beta 90.00
_cell_angle_gamma 90.00
loop_
_atom_site_label
_atom_site_fract_x
_atom_site_fract_y
_atom_site_fract_z
_atom_site_occupancy
Ti1 0.000 0.000 0.000 1
Be1 0.000 0.000 0.500 1
P1 0.500 0.500 0.500 1

[8]
# PBE-GGA BaTl2HgPd, optimized geometry
# Calculated volume   34.73 Å³ per atom
# Energy of formation from the pure elements   -0.252 eV per atom
# N(E_F)   3.993 states/eV/cell
# Spin magnetization   0.00 μB/f.u.
# Energy above the lowest structure with this stoichiometry   0.085 eV per atom
data_BaTl2HgPd
_chemical_formula_sum 'Ba1 Tl2 Hg1 Pd1'
_space_group_name_H-M_alt 'P 4/m m m'
_space_group_IT_number 123
_space_group_name_Hall '-P 4 2'
_cell_length_a 5.353
_cell_length_b 5.353
_cell_length_c 6.060
_cell_angle_alpha 90.00
_cell_angle_beta 90.00
_cell_angle_gamma 90.00
loop_
_atom_site_label
_atom_site_fract_x
_atom_site_fract_y
_atom_site_fract_z
_atom_site_occupancy
Ba1 0.000 0.000 0.000 1
Tl1 0.000 0.500 0.500 1
Hg1 0.500 0.500 0.000 1
Pd1 0.000 0.000 0.500 1

[9]
# PBE-GGA Ca2ErHg, optimized geometry
# Calculated volume   33.56 Å³ per atom
# Energy of formation from the pure elements   0.054 eV per atom
# N(E_F)   16.804 states/eV/cell
# Spin magnetization   0.64 μB/f.u.
# Energy above the lowest structure with this stoichiometry   0.188 eV per atom
data_Ca2ErHg
_chemical_formula_sum 'Ca6 Er3 Hg3'
_space_group_name_H-M_alt 'R -3 m'
_space_group_IT_number 166
_space_group_name_Hall '-R 3 2"'
_cell_length_a 3.6455
_cell_length_b 3.6455
_cell_length_c 34.9868
_cell_angle_alpha 90.00
_cell_angle_beta 90.00
_cell_angle_gamma 120.00
loop_
_atom_site_label
_atom_site_fract_x
_atom_site_fract_y
_atom_site_fract_z
_atom_site_occupancy
Ca1 0.0000 0.0000 0.0982 1
Er1 0.0000 0.0000 0.0000 1
Hg1 0.0000 0.0000 0.5000 1

[10]
# PBE-GGA BeOs, optimized geometry
# Calculated volume   11.87 Å³ per atom
# Energy of formation from the pure elements   0.017 eV per atom
# N(E_F)   1.907 states/eV/cell
# Spin magnetization   0.00 μB/f.u.
data_BeOs
_chemical_formula_sum 'Be2 Os2'
_space_group_name_H-M_alt 'P m m n'
_space_group_IT_number 59
_cell_length_a 2.733
_cell_length_b 4.261
_cell_length_c 4.078
_cell_angle_alpha 90.00
_cell_angle_beta 90.00
_cell_angle_gamma 90.00
loop_
_space_group_symop_operation_xyz
'x,y,z'
'-x,-y,-z'
'-x+1/2,-y+1/2,z'
'x+1/2,y+1/2,-z'
'x+1/2,-y,-z'
'-x+1/2,y,z'
'-x,y+1/2,-z'
'x,-y+1/2,z'
loop_
_atom_site_label
_atom_site_fract_x
_atom_site_fract_y
_atom_site_fract_z
_atom_site_occupancy
Be1 0.250 0.250 0.069 1
Os1 0.250 0.750 0.411 1

[11]
# PBE-GGA Zr3FeCo8, optimized geometry
# Calculated volume   13.35 Å³ per atom
# Energy of formation from the pure elements   -0.236 eV per atom
# N(E_F)   46.083 states/eV/cell
# Spin magnetization   9.74 μB/f.u.
data_Zr3FeCo8
_chemical_formula_sum 'Zr9 Fe3 Co24'
_space_group_name_H-M_alt 'R 3 m'
_space_group_IT_number 160
_space_group_name_Hall 'R 3 -2"'
_cell_length_a 4.8361
_cell_length_b 4.8361
_cell_length_c 23.7352
_cell_angle_alpha 90.00
_cell_angle_beta 90.00
_cell_angle_gamma 120.00
loop_
_atom_site_label
_atom_site_fract_x
_atom_site_fract_y
_atom_site_fract_z
_atom_site_occupancy
Zr1 0.0000 0.0000 0.0000 1
Zr2 0.0000 0.0000 0.1286 1
Zr3 0.0000 0.0000 0.6151 1
Fe1 0.0000 0.0000 0.4942 1
Co1 0.0000 0.0000 0.3111 1
Co2 0.0000 0.0000 0.8112 1
Co3 0.0012 0.5006 0.5598 1
Co4 0.0017 0.5008 0.0621 1

Number 1: E -45.60 eV per cell. Number 2: E -22.46 eV per cell. Number 3: E -14.30 eV per cell. Number 4: E -54.29 eV per cell. Number 5: E -64.11 eV per cell. Number 6: E -135.90 eV per cell. Number 7: E -15.44 eV per cell. Number 8: E -13.41 eV per cell. Number 9: E -25.95 eV per cell. Number 10: E -29.84 eV per cell. Number 11: E -281.36 eV per cell.